This record from Alexandria describes a relaxed InP2ClO crystal. The functional is PBE.

```
InP2ClO
1.0
-0.468 5.030 -1.110
-5.111 -0.315 0.728
0.619 1.124 4.834
O Cl P In
1 1 2 1
Direct
0.500 0.500 0.500
0.000 0.000 0.500
0.000 0.500 0.000
0.500 0.000 0.000
0.000 0.000 0.000
```

Formation energy (no corrections) ... 1334 meV/atom
Polymorph energy (0 for the lowest one) ... 1.175 eV/atom



This record from Alexandria describes a relaxed PmNdAgI crystal. The functional is PBE.

```
PmNdAgI
1.0
5.421 0.000 0.000
2.710 4.695 0.000
2.710 1.565 4.426
Ag Pm I Nd
1 1 1 1
Direct
0.000 0.000 0.000
0.750 0.750 0.750
0.500 0.500 0.500
0.250 0.250 0.250
```

Formation energy (no corrections) ... -378 meV/atom



This record from Alexandria describes a relaxed Rb3Pd5Cl12 crystal. The functional is PBE.

```
Rb3Pd5Cl12
1.0
-4.538 -7.677 -11.123
13.899 -2.397 2.075
-7.268 -3.783 11.667
Cl Rb Pd
48 12 20
Direct
0.578 0.896 0.403
0.182 0.507 0.604
0.493 0.675 0.097
0.182 0.675 0.078
0.578 0.682 0.675
0.675 0.182 0.578
0.175 0.078 0.682
0.175 0.097 0.993
0.403 0.007 0.325
0.325 0.818 0.422
0.896 0.318 0.493
0.403 0.396 0.578
0.682 0.104 0.007
0.896 0.578 0.903
0.318 0.896 0.993
0.818 0.325 0.922
0.993 0.396 0.318
0.682 0.578 0.175
0.922 0.825 0.818
0.675 0.493 0.597
0.604 0.007 0.182
0.396 0.403 0.078
0.825 0.922 0.318
0.507 0.182 0.104
0.007 0.403 0.825
0.993 0.597 0.175
0.318 0.422 0.825
0.422 0.318 0.325
0.818 0.493 0.396
0.903 0.078 0.896
0.597 0.604 0.422
0.922 0.097 0.604
0.422 0.104 0.597
0.007 0.604 0.682
0.078 0.175 0.182
0.325 0.507 0.403
0.597 0.993 0.675
0.396 0.993 0.818
0.104 0.682 0.507
0.604 0.597 0.922
0.507 0.325 0.903
0.097 0.175 0.493
0.097 0.922 0.104
0.104 0.422 0.097
0.825 0.903 0.007
0.493 0.818 0.896
0.903 0.825 0.507
0.078 0.903 0.396
0.375 0.750 0.625
0.750 0.875 0.625
0.625 0.250 0.375
0.750 0.375 0.125
0.125 0.875 0.750
0.250 0.625 0.875
0.125 0.250 0.875
0.875 0.750 0.125
0.875 0.125 0.250
0.625 0.375 0.750
0.375 0.625 0.250
0.250 0.125 0.375
0.625 0.750 0.875
0.125 0.750 0.375
0.500 0.000 0.500
0.250 0.375 0.625
0.375 0.250 0.125
0.375 0.125 0.750
0.500 0.500 0.500
0.750 0.125 0.875
0.750 0.625 0.375
0.250 0.875 0.125
0.000 0.000 0.000
0.625 0.875 0.250
0.875 0.625 0.750
0.500 0.000 0.000
0.000 0.500 0.500
0.125 0.375 0.250
0.875 0.250 0.625
0.000 0.500 0.000
0.500 0.500 0.000
0.000 0.000 0.500
```

Formation energy (no corrections) ... -779 meV/atom



This record from Alexandria describes a relaxed KRbB2 crystal. The functional is PBE.

```
KRbB2
1.0
0.000 3.764 3.764
3.764 0.000 3.764
3.764 3.764 0.000
B Rb K
2 1 1
Direct
0.250 0.250 0.250
0.750 0.750 0.750
0.500 0.500 0.500
0.000 0.000 0.000
```

Calculated formation energy ... 1.96 eV/atom
Polymorph energy (0 for the lowest one) ... 0.000 eV/atom



This record from Alexandria describes a relaxed LaCePr2In4 crystal. The functional is PBE.

```
LaCePr2In4
1.0
5.528 0.000 0.000
2.764 4.788 0.000
2.764 1.596 9.036
Pr Ce In La
2 1 4 1
Direct
0.250 0.250 0.249
0.750 0.750 0.751
0.500 0.500 0.500
0.126 0.126 0.622
0.376 0.376 0.872
0.624 0.624 0.128
0.874 0.874 0.378
0.000 0.000 0.000
```

Calculated formation energy ... -0.45 eV/atom



This record from Alexandria describes a relaxed Ag12Se5I3 crystal. The functional is PBE.

```
Ag12Se5I3
1.0
-11.088 -8.150 -3.132
6.064 -4.662 11.861
-4.316 13.311 1.841
Ag I Se
48 12 20
Direct
0.117 0.935 0.403
0.181 0.065 0.967
0.403 0.967 0.786
0.033 0.435 0.819
0.383 0.286 0.319
0.467 0.681 0.065
0.786 0.467 0.403
0.565 0.967 0.681
0.714 0.097 0.033
0.533 0.214 0.097
0.181 0.117 0.714
0.286 0.383 0.819
0.065 0.181 0.467
0.319 0.786 0.383
0.714 0.617 0.181
0.214 0.533 0.597
0.903 0.617 0.935
0.681 0.214 0.617
0.786 0.319 0.883
0.617 0.903 0.435
0.319 0.533 0.435
0.597 0.565 0.883
0.565 0.597 0.383
0.967 0.565 0.181
0.097 0.714 0.533
0.883 0.065 0.597
0.935 0.819 0.533
0.383 0.097 0.565
0.819 0.883 0.286
0.435 0.403 0.617
0.597 0.033 0.214
0.117 0.181 0.214
0.214 0.681 0.117
0.819 0.935 0.033
0.617 0.714 0.681
0.097 0.383 0.065
0.403 0.435 0.117
0.286 0.903 0.967
0.467 0.786 0.903
0.903 0.286 0.467
0.935 0.117 0.903
0.033 0.597 0.714
0.883 0.819 0.786
0.435 0.033 0.319
0.967 0.403 0.286
0.533 0.319 0.935
0.681 0.467 0.565
0.065 0.883 0.097
0.125 0.875 0.750
0.625 0.250 0.375
0.875 0.750 0.125
0.875 0.125 0.250
0.375 0.750 0.625
0.750 0.375 0.125
0.375 0.625 0.250
0.625 0.375 0.750
0.250 0.625 0.875
0.750 0.875 0.625
0.125 0.250 0.875
0.250 0.125 0.375
0.500 0.500 0.000
0.875 0.250 0.625
0.625 0.750 0.875
0.500 0.000 0.500
0.250 0.375 0.625
0.250 0.875 0.125
0.750 0.125 0.875
0.000 0.000 0.500
0.125 0.750 0.375
0.375 0.125 0.750
0.500 0.000 0.000
0.125 0.375 0.250
0.375 0.250 0.125
0.750 0.625 0.375
0.500 0.500 0.500
0.875 0.625 0.750
0.000 0.500 0.000
0.000 0.500 0.500
0.625 0.875 0.250
0.000 0.000 0.000
```

Formation energy (no corrections) ... -2 meV/atom



This record from Alexandria describes a relaxed Mn2NiRhN crystal. The functional is PBE.

```
Mn2NiRhN
1.0
3.861 0.000 0.000
0.000 3.861 0.000
0.000 0.000 3.991
N Rh Mn Ni
1 1 2 1
Direct
0.000 0.000 0.000
0.000 0.000 0.500
0.500 0.000 0.000
0.000 0.500 0.000
0.500 0.500 0.500
```

Formation energy (no corrections) ... -52 meV/atom
Polymorph energy (0 for the lowest one) ... 0.076 eV/atom



This record from Alexandria describes a relaxed CsHfBe2 crystal. The functional is PBE.

```
CsHfBe2
1.0
0.000 3.546 3.546
3.546 0.000 3.546
3.546 3.546 0.000
Be Cs Hf
2 1 1
Direct
0.250 0.250 0.250
0.750 0.750 0.750
0.000 0.000 0.000
0.500 0.500 0.500
```

Calculated formation energy ... 1.51 eV/atom



Number 1: calculated volume 134 Å³/f.u.. Number 2: calculated volume 113 Å³/f.u.. Number 3: calculated volume 558 Å³/f.u.. Number 4: calculated volume 107 Å³/f.u.. Number 5: calculated volume 239 Å³/f.u.. Number 6: calculated volume 541 Å³/f.u.. Number 7: calculated volume 59 Å³/f.u.. Number 8: calculated volume 89 Å³/f.u..